VASP calculation (PBE) on a geometry-optimized ReWC structure.

Summary:
Its space group is C2/m (12). The value obtained for the formation energy is 2.4 kcal/mol of atoms.

a = 5.205 Å, b = 5.205 Å, c = 5.023 Å
α = 98.97°, β = 98.97°, γ = 32.79°
Atoms (fractional coordinates):
1 Re 0.111 0.111 0.362
2 Re 0.889 0.889 0.638
3 W 0.383 0.383 0.132
4 W 0.617 0.617 0.868
5 C 0.252 0.252 0.740
6 C 0.748 0.748 0.260